VASP calculation (PBE) on crystalline LaFeW2 at its relaxed geometry.

a b c (Å): 4.655 4.655 3.266
angles (deg): 90.00 90.00 90.00
Site moments in Bohr magnetons follow the coordinates.
Atoms (fractional coordinates):
Fe 0.500 0.000 0.500  2.34
W 0.000 0.000 0.000  -0.16
W 0.500 0.500 0.000  -0.16
La 0.000 0.500 0.500  0.00

Results
- Space-group type: P4/mmm (123)
- M_tot: 1.96 μB per formula unit
- Excess energy over the best structure of this formula in the dataset: 0.5701 eV/atom
- ΔE_f: 4.28 eV per formula unit
- VASP energy: -35.015 eV per cell